Here is crystalline AcHg2Au6 at its relaxed geometry from Alexandria. Energies are from PBE.

a = 5.4921 Å, b = 5.4921 Å, c = 9.2016 Å
α = 90.00°, β = 90.00°, γ = 120.00°
Closest atoms and distances in Å follow each position.
Space group P6/mmm (No. 191)
Asymmetric unit:
1 Ac 0.0000 0.0000 0.0000 [1 per cell]  12 Au 3.34
2 Hg 0.3333 0.6667 0.5000 [2 per cell]  6 Au 3.13, 3 Hg 3.17
3 Au 0.0000 0.5000 0.2072 [6 per cell]  4 Au 2.75

Computed properties:
Magnetization, μB per formula unit: 0.00
Energy of formation, eV per atom: -0.24
Electronic total energy, Ha/atom: -0.1085